[1]
## PmTaBe (GGA-PBE)

Data for a relaxed structure of PmTaBe.

The space group is F-43m (No. 216) and the conventional cell measures 6.302, 6.302 and 6.302 Å, with angles of 90.00, 90.00 and 90.00 degrees. The inequivalent atoms are Pm at (0.000, 0.000, 0.000), Ta at (0.000, 0.000, 0.500) and Be at (0.250, 0.250, 0.250).

Its crystal system is cubic. For the total DFT energy (no corrections), the calculation gives -72.7 eV per cell.

***

[2]
## TbPmBe (GGA-PBE)

Data for a relaxed structure of TbPmBe.

The space group is F-43m (No. 216) and the conventional cell measures 6.800, 6.800 and 6.800 Å, with angles of 90.00, 90.00 and 90.00 degrees. The inequivalent atoms are Tb at (0.000, 0.000, 0.000), Pm at (0.250, 0.250, 0.750) and Be at (0.000, 0.000, 0.500).

Its crystal system is cubic. For the total DFT energy (no corrections), the calculation gives -41.4 eV per cell.